Entry 1:
Entry from the Alexandria database: KNa2Be after structural relaxation (PBE-GGA).

Cell: 4.952 4.952 11.933 Å, 78.02 78.02 90.00°
Positions (direct):
1 Na 0.571 0.125 0.250
2 Na 0.875 0.821 0.750
3 Na 0.179 0.625 0.250
4 Na 0.375 0.429 0.750
5 Be 0.250 0.750 0.500
6 Be 0.500 0.500 0.000
7 K 0.750 0.250 0.500
8 K 0.000 0.000 0.000

Output
Size of the total moment, μB per formula unit: 0.00
Calculated volume, Å³ per cell: 280
E_form, eV/atom: 0.65

=====

Entry 2:
Entry from the Alexandria database: ReIr2Os after structural relaxation (PBE-GGA).

Cell: 4.386 2.749 4.806 Å, 90.00 90.00 90.00°
Positions (direct):
1 Os 0.000 0.625 0.459
2 Re 0.500 0.625 0.787
3 Ir 0.500 0.125 0.293
4 Ir 0.000 0.125 0.961

Output
Size of the total moment, μB per formula unit: 0.00
Calculated volume, Å³ per cell: 58
E_form, eV/atom: -0.13